1.
VASP calculation (PBE) on a geometry-optimized HfMg2Sc structure.

```
data_HfMg2Sc
_cell_length_a 8.073
_cell_length_b 8.073
_cell_length_c 5.725
_cell_angle_alpha 90.00
_cell_angle_beta 90.00
_cell_angle_gamma 90.00
_symmetry_space_group_name_H-M 'I -4 2 d'
_symmetry_Int_Tables_number 122
_symmetry_space_group_name_Hall 'I -4 2bw'
loop_
_atom_site_label
_atom_site_fract_x
_atom_site_fract_y
_atom_site_fract_z
_atom_site_occupancy
Hf1 0.000 0.000 0.000 1
Mg1 0.246 0.750 0.625 1
Sc1 0.000 0.000 0.500 1
```

Computed properties:
Excess energy over the best structure of this formula in the dataset ... 564 meV per atom
Size of the total moment ... 0.00 μB/f.u.
Calculated total energy ... -4.35 eV per atom

2.
VASP calculation (PBE) on a geometry-optimized Ca8GaSn2 structure.

```
data_Ca8GaSn2
_cell_length_a 18.852
_cell_length_b 5.382
_cell_length_c 7.425
_cell_angle_alpha 90.00
_cell_angle_beta 109.52
_cell_angle_gamma 90.00
_symmetry_space_group_name_H-M 'C 1 2/m 1'
_symmetry_Int_Tables_number 12
loop_
_symmetry_equiv_pos_as_xyz
'x,y,z'
'-x,-y,-z'
'-x,y,-z'
'x,-y,z'
'x+1/2,y+1/2,z'
'-x+1/2,-y+1/2,-z'
'-x+1/2,y+1/2,-z'
'x+1/2,-y+1/2,z'
loop_
_atom_site_label
_atom_site_fract_x
_atom_site_fract_y
_atom_site_fract_z
_atom_site_occupancy
Ca1 0.022 0.000 0.287 1
Ca2 0.097 0.500 0.933 1
Ca3 0.156 0.500 0.445 1
Ca4 0.201 0.000 0.784 1
Ga1 0.000 0.500 0.500 1
Sn1 0.184 0.000 0.201 1
```

Computed properties:
Size of the total moment ... 0.00 μB/f.u.
Calculated total energy ... -2.87 eV per atom

3.
VASP calculation (PBE) on a geometry-optimized Pm2Dy3Y6Mg structure.

```
data_Pm2Dy3Y6Mg
_cell_length_a 6.151
_cell_length_b 10.664
_cell_length_c 11.786
_cell_angle_alpha 90.00
_cell_angle_beta 100.09
_cell_angle_gamma 90.00
_symmetry_space_group_name_H-M 'C 1 2/m 1'
_symmetry_Int_Tables_number 12
loop_
_symmetry_equiv_pos_as_xyz
'x,y,z'
'-x,-y,-z'
'-x,y,-z'
'x,-y,z'
'x+1/2,y+1/2,z'
'-x+1/2,-y+1/2,-z'
'-x+1/2,y+1/2,-z'
'x+1/2,-y+1/2,z'
loop_
_atom_site_label
_atom_site_fract_x
_atom_site_fract_y
_atom_site_fract_z
_atom_site_occupancy
Pm1 0.000 0.166 0.000 1
Dy1 0.000 0.000 0.500 1
Dy2 0.000 0.334 0.500 1
Y1 0.248 0.500 0.749 1
Y2 0.249 0.334 0.250 1
Mg1 0.000 0.500 0.000 1
```

Computed properties:
Size of the total moment ... 0.00 μB/f.u.
Calculated total energy ... -5.28 eV per atom

4.
VASP calculation (PBE) on a geometry-optimized PrNd4Ho5 structure.

```
data_PrNd4Ho5
_cell_length_a 10.610
_cell_length_b 10.610
_cell_length_c 6.080
_cell_angle_alpha 90.00
_cell_angle_beta 90.00
_cell_angle_gamma 90.00
_symmetry_space_group_name_H-M 'I 4 m m'
_symmetry_Int_Tables_number 107
_symmetry_space_group_name_Hall 'I 4 -2'
loop_
_atom_site_label
_atom_site_fract_x
_atom_site_fract_y
_atom_site_fract_z
_atom_site_occupancy
Pr1 0.000 0.000 0.000 1
Nd1 0.000 0.326 0.270 1
Ho1 0.000 0.000 0.472 1
Ho2 0.190 0.190 0.730 1
```

Computed properties:
Excess energy over the best structure of this formula in the dataset ... 51 meV per atom
Size of the total moment ... 0.00 μB/f.u.
Calculated total energy ... -4.43 eV per atom

5.
VASP calculation (PBE) on a geometry-optimized ZrCd2Re structure.

```
data_ZrCd2Re
_cell_length_a 5.680
_cell_length_b 9.463
_cell_length_c 2.833
_cell_angle_alpha 90.00
_cell_angle_beta 90.00
_cell_angle_gamma 90.00
_symmetry_space_group_name_H-M 'C m m m'
_symmetry_Int_Tables_number 65
_symmetry_space_group_name_Hall '-C 2 2'
loop_
_atom_site_label
_atom_site_fract_x
_atom_site_fract_y
_atom_site_fract_z
_atom_site_occupancy
Zr1 0.000 0.000 0.000 1
Cd1 0.250 0.250 0.500 1
Re1 0.000 0.500 0.000 1
```

Computed properties:
Excess energy over the best structure of this formula in the dataset ... 154 meV per atom
Size of the total moment ... 0.00 μB/f.u.
Calculated total energy ... -5.39 eV per atom

6.
VASP calculation (PBE) on a geometry-optimized SrLa2Mn structure.

```
data_SrLa2Mn
_cell_length_a 5.232
_cell_length_b 5.232
_cell_length_c 4.890
_cell_angle_alpha 90.00
_cell_angle_beta 90.00
_cell_angle_gamma 90.00
_symmetry_space_group_name_H-M 'P 4/m m m'
_symmetry_Int_Tables_number 123
_symmetry_space_group_name_Hall '-P 4 2'
loop_
_atom_site_label
_atom_site_fract_x
_atom_site_fract_y
_atom_site_fract_z
_atom_site_occupancy
Sr1 0.000 0.000 0.000 1
La1 0.000 0.500 0.500 1
Mn1 0.500 0.500 0.000 1
```

Computed properties:
Excess energy over the best structure of this formula in the dataset ... 207 meV per atom
Size of the total moment ... 3.20 μB/f.u.
Calculated total energy ... -4.76 eV per atom

7.
VASP calculation (PBE) on a geometry-optimized Re4Tc3Os structure.

```
data_Re4Tc3Os
_cell_length_a 9.532
_cell_length_b 5.500
_cell_length_c 4.779
_cell_angle_alpha 90.00
_cell_angle_beta 109.31
_cell_angle_gamma 90.00
_symmetry_space_group_name_H-M 'C 1 2/m 1'
_symmetry_Int_Tables_number 12
loop_
_symmetry_equiv_pos_as_xyz
'x,y,z'
'-x,-y,-z'
'-x,y,-z'
'x,-y,z'
'x+1/2,y+1/2,z'
'-x+1/2,-y+1/2,-z'
'-x+1/2,y+1/2,-z'
'x+1/2,-y+1/2,z'
loop_
_atom_site_label
_atom_site_fract_x
_atom_site_fract_y
_atom_site_fract_z
_atom_site_occupancy
Re1 0.000 0.248 0.000 1
Re2 0.250 0.250 0.500 1
Tc1 0.000 0.500 0.500 1
Tc2 0.249 0.000 0.996 1
Os1 0.000 0.000 0.500 1
```

Computed properties:
Size of the total moment ... 0.00 μB/f.u.
Calculated total energy ... -11.47 eV per atom

8.
VASP calculation (PBE) on a geometry-optimized Sm2Y8Ho3 structure.

```
data_Sm2Y8Ho3
_cell_length_a 20.544
_cell_length_b 7.613
_cell_length_c 5.615
_cell_angle_alpha 90.00
_cell_angle_beta 90.03
_cell_angle_gamma 90.00
_symmetry_space_group_name_H-M 'C 1 2/m 1'
_symmetry_Int_Tables_number 12
loop_
_symmetry_equiv_pos_as_xyz
'x,y,z'
'-x,-y,-z'
'-x,y,-z'
'x,-y,z'
'x+1/2,y+1/2,z'
'-x+1/2,-y+1/2,-z'
'-x+1/2,y+1/2,-z'
'x+1/2,-y+1/2,z'
loop_
_atom_site_label
_atom_site_fract_x
_atom_site_fract_y
_atom_site_fract_z
_atom_site_occupancy
Sm1 0.241 0.000 0.499 1
Y1 0.106 0.287 0.500 1
Y2 0.132 0.000 0.000 1
Y3 0.166 0.500 0.001 1
Ho1 0.000 0.000 0.500 1
Ho2 0.000 0.284 0.000 1
```

Computed properties:
Size of the total moment ... 0.00 μB/f.u.
Calculated total energy ... -5.52 eV per atom

Which value of size of the total moment does entry 4 give?
0.00 μB/f.u.

Which of these has the lowest calculated total energy?
Re4Tc3Os

Which value of calculated total energy does entry 4 give?
-4.43 eV per atom